(1)
Computed, not measured: a relaxed structure of KGaGeBi2 at the PBE-GGA level of DFT.

Cell and atoms, written as POSCAR:
```
KGaGeBi2
1.0
-2.785 4.831 0.740
-5.080 -2.697 -1.512
-0.892 -1.340 5.390
K Bi Ga Ge
1 2 1 1
direct
0.000 0.500 0.000 K
0.000 0.000 0.500 Bi
0.500 0.000 0.000 Bi
0.500 0.500 0.500 Ga
0.000 0.000 0.000 Ge
```

Calculated values
calculated total energy = -2.9225 eV/atom
formation enthalpy at 0 K = 378.2 meV/atom
space-group type = P4/mmm, No. 123

---

(2)
Computed, not measured: a relaxed structure of Tb3Er4Ni4 at the PBE-GGA level of DFT.

Cell and atoms, written as POSCAR:
```
Tb3Er4Ni4
1.0
-3.737 -0.765 2.445
3.228 -5.904 3.087
2.926 7.633 2.662
Tb Er Ni
3 4 4
direct
0.104 0.104 0.209 Tb
0.896 0.896 0.791 Tb
0.000 0.500 0.000 Tb
0.330 0.543 0.659 Er
0.670 0.884 0.341 Er
0.670 0.457 0.341 Er
0.330 0.116 0.659 Er
0.500 0.161 0.000 Ni
0.794 0.294 0.588 Ni
0.500 0.839 0.000 Ni
0.206 0.706 0.412 Ni
```

Calculated values
calculated total energy = -5.2612 eV/atom
formation enthalpy at 0 K = -236.9 meV/atom
space-group type = Immm, No. 71

---

(3)
Computed, not measured: a relaxed structure of CoRhC2 at the PBE-GGA level of DFT.

Cell and atoms, written as POSCAR:
```
CoRhC2
1.0
4.440 0.000 0.000
0.000 4.440 0.000
2.220 2.220 4.426
C Co Rh
4 2 2
direct
0.151 0.625 0.250 C
0.599 0.125 0.250 C
0.875 0.849 0.750 C
0.375 0.401 0.750 C
0.500 0.500 0.000 Co
0.250 0.750 0.500 Co
0.000 0.000 0.000 Rh
0.750 0.250 0.500 Rh
```

Calculated values
calculated total energy = -7.6414 eV/atom
formation enthalpy at 0 K = 584.9 meV/atom
space-group type = I-42d, No. 122

---

(4)
Computed, not measured: a relaxed structure of Ca2CdBi2 at the PBE-GGA level of DFT.

Cell and atoms, written as POSCAR:
```
Ca2CdBi2
1.0
9.398 0.000 0.000
0.000 9.398 0.000
0.000 0.000 3.639
Ca Cd Bi
4 2 4
direct
0.863 0.637 0.000 Ca
0.637 0.137 0.000 Ca
0.363 0.863 0.000 Ca
0.137 0.363 0.000 Ca
0.000 0.000 0.000 Cd
0.500 0.500 0.000 Cd
0.336 0.164 0.500 Bi
0.164 0.664 0.500 Bi
0.664 0.836 0.500 Bi
0.836 0.336 0.500 Bi
```

Calculated values
calculated total energy = -2.9971 eV/atom
formation enthalpy at 0 K = -461.1 meV/atom
space-group type = P4/mbm, No. 127

---

(5)
Computed, not measured: a relaxed structure of Ac8PrSm3 at the PBE-GGA level of DFT.

Cell and atoms, written as POSCAR:
```
Ac8PrSm3
1.0
7.810 0.226 -5.148
-3.598 8.546 -1.255
-1.636 -0.226 9.210
Ac Sm Pr
8 3 1
direct
0.503 0.267 0.236 Ac
0.162 0.411 0.249 Ac
0.497 0.733 0.764 Ac
0.838 0.589 0.751 Ac
0.162 0.913 0.751 Ac
0.969 0.733 0.236 Ac
0.031 0.267 0.764 Ac
0.838 0.087 0.249 Ac
0.000 0.500 0.500 Sm
0.500 0.713 0.213 Sm
0.500 0.287 0.787 Sm
0.000 0.000 0.000 Pr
```

Calculated values
calculated total energy = -3.9531 eV/atom
formation enthalpy at 0 K = 363.9 meV/atom
space-group type = Immm, No. 71

---

(6)
Computed, not measured: a relaxed structure of Tm11Hg9Pd4 at the PBE-GGA level of DFT.

Cell and atoms, written as POSCAR:
```
Tm11Hg9Pd4
1.0
-1.704 -2.960 1.171
11.107 -4.394 5.058
-6.847 7.231 8.313
Tm Pd Hg
11 4 9
direct
0.000 0.633 0.367 Tm
0.000 0.367 0.633 Tm
0.000 0.166 0.834 Tm
0.000 0.294 0.294 Tm
0.000 0.834 0.166 Tm
0.000 0.925 0.586 Tm
0.000 0.706 0.706 Tm
0.000 0.414 0.075 Tm
0.000 0.586 0.925 Tm
0.000 0.075 0.414 Tm
0.000 0.000 0.000 Tm
0.500 0.253 0.449 Pd
0.500 0.449 0.253 Pd
0.500 0.551 0.747 Pd
0.500 0.747 0.551 Pd
0.500 0.787 0.938 Hg
0.500 0.062 0.213 Hg
0.500 0.150 0.630 Hg
0.500 0.500 0.500 Hg
0.500 0.938 0.787 Hg
0.500 0.370 0.850 Hg
0.500 0.850 0.370 Hg
0.500 0.213 0.062 Hg
0.500 0.630 0.150 Hg
```

Calculated values
calculated total energy = -3.6684 eV/atom
formation enthalpy at 0 K = -640.3 meV/atom
space-group type = Cmmm, No. 65

---

(7)
Computed, not measured: a relaxed structure of Ce12TcPb6 at the PBE-GGA level of DFT.

Cell and atoms, written as POSCAR:
```
Ce12TcPb6
1.0
-5.388 3.457 -5.233
-4.507 -6.624 2.043
-1.736 4.631 6.626
Tc Pb Ce
1 6 12
direct
0.000 0.000 0.000 Tc
0.827 0.253 0.665 Pb
0.665 0.827 0.253 Pb
0.747 0.335 0.173 Pb
0.253 0.665 0.827 Pb
0.173 0.747 0.335 Pb
0.335 0.173 0.747 Pb
0.164 0.406 0.491 Ce
0.007 0.087 0.334 Ce
0.087 0.334 0.007 Ce
0.334 0.007 0.087 Ce
0.406 0.491 0.164 Ce
0.491 0.164 0.406 Ce
0.509 0.836 0.594 Ce
0.993 0.913 0.666 Ce
0.836 0.594 0.509 Ce
0.913 0.666 0.993 Ce
0.594 0.509 0.836 Ce
0.666 0.993 0.913 Ce
```

Calculated values
calculated total energy = -5.6456 eV/atom
formation enthalpy at 0 K = -181.2 meV/atom
space-group type = R-3, No. 148

---

(8)
Computed, not measured: a relaxed structure of Zn2ReRh2 at the PBE-GGA level of DFT.

Cell and atoms, written as POSCAR:
```
Zn2ReRh2
1.0
7.076 0.000 0.000
0.000 7.076 0.000
0.000 0.000 2.828
Rh Zn Re
4 4 2
direct
0.821 0.321 0.500 Rh
0.679 0.821 0.500 Rh
0.321 0.179 0.500 Rh
0.179 0.679 0.500 Rh
0.621 0.121 0.000 Zn
0.379 0.879 0.000 Zn
0.121 0.379 0.000 Zn
0.879 0.621 0.000 Zn
0.000 0.000 0.000 Re
0.500 0.500 0.000 Re
```

Calculated values
calculated total energy = -5.8773 eV/atom
formation enthalpy at 0 K = 62.5 meV/atom
space-group type = P4/mbm, No. 127

---

(9)
Computed, not measured: a relaxed structure of LiRe2Tc2 at the PBE-GGA level of DFT.

Cell and atoms, written as POSCAR:
```
LiRe2Tc2
1.0
-1.932 3.102 6.707
-3.784 -6.370 1.856
2.297 -1.033 1.139
Re Tc Li
4 4 2
direct
0.148 0.648 0.500 Re
0.852 0.352 0.500 Re
0.352 0.148 0.500 Re
0.648 0.852 0.500 Re
0.145 0.355 0.000 Tc
0.645 0.145 0.000 Tc
0.855 0.645 0.000 Tc
0.355 0.855 0.000 Tc
0.500 0.500 0.000 Li
0.000 0.000 0.000 Li
```

Calculated values
calculated total energy = -9.2794 eV/atom
formation enthalpy at 0 K = 229.0 meV/atom
space-group type = P4/mbm, No. 127

---

(10)
Computed, not measured: a relaxed structure of U4N3O at the PBE-GGA level of DFT.

Cell and atoms, written as POSCAR:
```
U4N3O
1.0
4.447 0.004 -1.971
-0.878 4.360 -1.971
-0.019 -0.024 5.958
U N O
4 3 1
direct
0.500 0.000 0.000 U
0.748 0.748 0.496 U
0.000 0.500 0.000 U
0.252 0.252 0.504 U
0.750 0.250 0.500 N
0.250 0.750 0.500 N
0.500 0.500 0.000 N
0.000 0.000 0.000 O
```

Calculated values
calculated total energy = -10.9668 eV/atom
ΔE_f (raw) = -12.6 eV/f.u.
space-group type = I4/mmm, No. 139

---

(11)
Computed, not measured: a relaxed structure of MnReNi2 at the PBE-GGA level of DFT.

Cell and atoms, written as POSCAR:
```
MnReNi2
1.0
-1.714 0.462 1.868
-2.701 -1.044 -2.221
0.504 -4.838 1.661
Mn Ni Re
1 2 1
direct
0.500 0.500 0.758 Mn
0.000 0.000 0.004 Ni
0.500 0.500 0.241 Ni
0.000 0.000 0.498 Re
```

Calculated values
calculated total energy = -8.2708 eV/atom
formation enthalpy at 0 K = 24.3 meV/atom
space-group type = Pmm2, No. 25

---

(12)
Computed, not measured: a relaxed structure of V3SbP at the PBE-GGA level of DFT.

Cell and atoms, written as POSCAR:
```
V3SbP
1.0
-1.693 3.508 1.993
-4.028 -1.353 -1.040
-0.218 -2.237 3.753
P Sb V
1 1 3
direct
0.000 0.000 0.000 P
0.500 0.500 0.500 Sb
0.000 0.500 0.000 V
0.000 0.000 0.500 V
0.500 0.000 0.000 V
```

Calculated values
calculated total energy = -7.2688 eV/atom
ΔE_f (raw) = 0.5 eV/f.u.
space-group type = Pm-3m, No. 221

---

(13)
Computed, not measured: a relaxed structure of Ac5Pr3Y2 at the PBE-GGA level of DFT.

Cell and atoms, written as POSCAR:
```
Ac5Pr3Y2
1.0
9.304 -1.446 -2.876
-2.617 9.017 -3.123
-0.461 -0.322 10.582
Pr Ac Y
6 10 4
direct
0.480 0.528 0.758 Pr
0.779 0.230 0.758 Pr
0.285 0.035 0.070 Pr
0.520 0.472 0.242 Pr
0.221 0.770 0.242 Pr
0.715 0.965 0.930 Pr
0.114 0.354 0.219 Ac
0.984 0.734 0.468 Ac
0.217 0.467 0.934 Ac
0.524 0.774 0.548 Ac
0.605 0.866 0.219 Ac
0.016 0.266 0.532 Ac
0.886 0.646 0.781 Ac
0.476 0.226 0.452 Ac
0.783 0.533 0.066 Ac
0.395 0.134 0.781 Ac
0.289 0.745 0.783 Y
0.994 0.037 0.783 Y
0.711 0.255 0.217 Y
0.006 0.963 0.217 Y
```

Calculated values
calculated total energy = -4.6048 eV/atom
formation enthalpy at 0 K = 176.1 meV/atom
space-group type = C2/c, No. 15

---

(14)
Computed, not measured: a relaxed structure of Cr3CoS at the PBE-GGA level of DFT.

Cell and atoms, written as POSCAR:
```
Cr3CoS
1.0
-0.675 3.049 2.669
-4.029 -0.218 -0.769
-0.429 -2.744 3.026
S Cr Co
1 3 1
direct
0.000 0.000 0.000 S
0.000 0.000 0.500 Cr
0.500 0.000 0.000 Cr
0.000 0.500 0.000 Cr
0.500 0.500 0.500 Co
```

Calculated values
calculated total energy = -7.3769 eV/atom
ΔE_f (raw) = 3.2 eV/f.u.
space-group type = Pm-3m, No. 221

---

(15)
Computed, not measured: a relaxed structure of TaBeCr at the PBE-GGA level of DFT.

Cell and atoms, written as POSCAR:
```
TaBeCr
1.0
-2.450 3.039 -1.658
-1.749 -3.590 1.429
-0.266 1.057 2.329
Ta Be Cr
1 1 1
direct
0.333 0.667 0.649 Ta
0.000 0.000 0.048 Be
0.667 0.333 0.304 Cr
```

Calculated values
calculated total energy = -8.1574 eV/atom
formation enthalpy at 0 K = 243.3 meV/atom
space-group type = P3m1, No. 156

---

(16)
Computed, not measured: a relaxed structure of LiMnFe2Tc at the PBE-GGA level of DFT.

Cell and atoms, written as POSCAR:
```
LiMnFe2Tc
1.0
-0.232 -0.165 4.366
3.812 -2.457 0.109
2.361 3.674 0.264
Fe Li Tc Mn
2 1 1 1
direct
0.500 0.000 0.000 Fe
0.000 0.000 0.500 Fe
0.000 0.500 0.000 Li
0.000 0.000 0.000 Tc
0.500 0.500 0.500 Mn
```

Calculated values
calculated total energy = -6.3706 eV/atom
formation enthalpy at 0 K = 1304.3 meV/atom
space-group type = P4/mmm, No. 123

---

(17)
Computed, not measured: a relaxed structure of Dy5PuIn6 at the PBE-GGA level of DFT.

Cell and atoms, written as POSCAR:
```
Dy5PuIn6
1.0
5.103 0.004 -1.570
-0.820 6.946 -2.647
0.045 -0.506 9.221
In Pu Dy
6 1 5
direct
0.500 0.740 0.000 In
0.500 0.260 0.000 In
0.831 0.086 0.662 In
0.831 0.576 0.662 In
0.169 0.424 0.338 In
0.169 0.914 0.338 In
0.000 0.000 0.000 Pu
0.331 0.331 0.663 Dy
0.661 0.161 0.322 Dy
0.339 0.839 0.678 Dy
0.669 0.669 0.337 Dy
0.000 0.500 0.000 Dy
```

Calculated values
calculated total energy = -4.8846 eV/atom
formation enthalpy at 0 K = -403.5 meV/atom
space-group type = Immm, No. 71

---

Number 1: M_tot 0.00 μB/f.u.. Number 2: M_tot 0.00 μB/f.u.. Number 3: M_tot 0.00 μB/f.u.. Number 4: M_tot 0.00 μB/f.u.. Number 5: M_tot 0.00 μB/f.u.. Number 6: M_tot 0.00 μB/f.u.. Number 7: M_tot 10.72 μB/f.u.. Number 8: M_tot 0.00 μB/f.u.. Number 9: M_tot 0.00 μB/f.u.. Number 10: M_tot 5.91 μB/f.u.. Number 11: M_tot 1.55 μB/f.u.. Number 12: M_tot 1.11 μB/f.u.. Number 13: M_tot 0.00 μB/f.u.. Number 14: M_tot 2.90 μB/f.u.. Number 15: M_tot 0.00 μB/f.u.. Number 16: M_tot 7.48 μB/f.u.. Number 17: M_tot 5.86 μB/f.u..